# 1
Hf3Si2Au2: optimized geometry, PBE-GGA.

Calculated density ... 11.73 g/cm³
Raw total energy ... -147.39 eV/cell

a = 4.6193 Å, b = 4.6193 Å, c = 22.6524 Å
α = 90.00°, β = 90.00°, γ = 120.00°
Space group R3m (No. 160, hexagonal axes)
One atom of each set of equivalent atoms:
1 Hf 0.0000 0.0000 0.0000 (multiplicity 3)
2 Hf 0.0000 0.0000 0.2482 (multiplicity 3)
3 Hf 0.0000 0.0000 0.4969 (multiplicity 3)
4 Si 0.0000 0.0000 0.1215 (multiplicity 3)
5 Si 0.0000 0.0000 0.6211 (multiplicity 3)
6 Au 0.0000 0.0000 0.3784 (multiplicity 3)
7 Au 0.0000 0.0000 0.8511 (multiplicity 3)



# 2
HfSi2Au2: optimized geometry, PBE-GGA.

Calculated density ... 12.02 g/cm³
Raw total energy ... -55.79 eV/cell
E above lowest polymorph ... 0.0 meV/atom

a = 4.0293 Å, b = 4.0293 Å, c = 10.6989 Å
α = 90.00°, β = 90.00°, γ = 90.00°
Space group I4/mmm (No. 139)
One atom of each set of equivalent atoms:
1 Hf 0.0000 0.0000 0.0000 (multiplicity 2)
2 Si 0.0000 0.0000 0.3959 (multiplicity 4)
3 Au 0.0000 0.5000 0.2500 (multiplicity 4)



# 3
HfSiAu: optimized geometry, PBE-GGA.

Calculated density ... 10.45 g/cm³
Raw total energy ... -75.58 eV/cell

a = 6.3545 Å, b = 6.3545 Å, c = 6.3545 Å
α = 90.00°, β = 90.00°, γ = 90.00°
Space group F-43m (No. 216)
One atom of each set of equivalent atoms:
1 Hf 0.0000 0.0000 0.0000 (multiplicity 4)
2 Si 0.2500 0.2500 0.2500 (multiplicity 4)
3 Au 0.2500 0.2500 0.7500 (multiplicity 4)



- Which of these has the highest calculated density?
  HfSi2Au2